LiPrSeI (GGA-PBE, optimized geometry); N(E_F) = 4.21 states/eV per cell; space-group type = R-3m (166); spin magnetization = 0.00 Bohr magnetons per cell; formation energy from raw total energies = -1.39 eV per atom
1.0
2.113 1.220 15.358
-2.113 1.220 15.358
0.000 -2.439 15.358
Li Pr Se I
2 2 2 2
Cartesian
0.000 0.000 8.616 Li
0.000 0.000 37.458 Li
0.000 0.000 19.475 Pr
0.000 0.000 26.600 Pr
0.000 0.000 5.971 Se
0.000 0.000 40.103 Se
0.000 0.000 13.336 I
0.000 0.000 32.738 I